ScTaPt, relaxed, DFT GGA-PBE; E_form = -0.33 eV per atom; spin magnetization = 0.000 μB per atom; uncorrected energy = -8.401 eV/atom
1.0
-0.690 4.392 -0.432
-3.800 1.821 1.482
0.044 2.633 3.608
Pt Ta Sc
1 1 1
Direct
0.250 0.250 0.250
0.500 0.500 0.500
0.000 0.000 0.000

TeP2Au, relaxed, DFT GGA-PBE; formation energy (no corrections) = 0.7092 eV/atom; spin magnetization = 0.000 μB per atom; uncorrected energy = -3.601 eV/atom
1.0
-2.439 1.991 1.130
-2.611 -0.802 -4.224
-2.039 -3.601 1.944
Au P Te
1 2 1
Direct
0.000 0.500 0.500
0.500 0.500 0.000
0.000 0.000 0.000
0.500 0.000 0.500